CeAg2I5: optimized geometry, GGA-PBE.

Lattice parameters (Å, degrees): 13.6359 8.9751 7.7938 90.00 119.91 90.00
With the nearest neighbours (Å) after each atom.
Space group Cm (No. 8)
Inequivalent atoms, fractional coordinates:
1 Ce 0.0000 0.0000 0.0000  5 I 3.02-3.23
2 Ag 0.3649 0.2740 0.5385  4 I 2.80-3.04
3 I 0.0758 0.2762 0.8762  1 Ag 2.80, 1 Ce 3.02
4 I 0.2507 0.5000 0.6329  2 Ag 2.87, 1 Ce 3.17
5 I 0.2574 0.0000 0.3635  2 Ag 2.84
6 I 0.4039 0.5000 0.2876  2 Ag 3.04, 1 Ce 3.11

Computed properties:
Its density of states at the Fermi level is 7.0 states/eV/f.u. Its calculated total energy is -0.232 Ry/atom. For the uncorrected formation energy, the calculation gives -0.7286 eV per atom. Its spin magnetization is 2.000 Bohr magnetons per cell.

=====

Zr2InCu: optimized geometry, GGA-PBE.

Lattice parameters (Å, degrees): 3.2513 4.0828 5.9993 90.00 90.12 90.00
With the nearest neighbours (Å) after each atom.
Space group P2/m (No. 10)
Inequivalent atoms, fractional coordinates:
1 Zr 0.0010 0.0000 0.2634  2 Zr 2.84-3.16, 4 Cu 2.97, 4 In 3.05
2 In 0.5000 0.5000 0.0000  2 Cu 3.00, 8 Zr 3.05, 2 In 3.25
3 Cu 0.5000 0.5000 0.5000  8 Zr 2.97, 2 In 3.00, 2 Cu 3.25

Computed properties:
Its density of states at the Fermi level is 3.2 states/eV/f.u. Its calculated total energy is -0.451 Ry/atom. Its spin magnetization is 0.000 Bohr magnetons per cell. The formation energy from the elements is -0.157 eV/atom.

=====

Zn2Ge2Ru: optimized geometry, GGA-PBE.

Lattice parameters (Å, degrees): 6.5190 6.5190 3.8526 90.00 90.00 90.00
With the nearest neighbours (Å) after each atom.
Space group P4/mbm (No. 127)
Inequivalent atoms, fractional coordinates:
1 Zn 0.1693 0.3307 0.0000  6 Ge 2.62-2.79
2 Ge 0.1384 0.6384 0.5000  2 Ru 2.52, 1 Ge 2.55, 6 Zn 2.62-2.79
3 Ru 0.0000 0.0000 0.5000  4 Ge 2.52

Computed properties:
Its density of states at the Fermi level is 2.5 states/eV/f.u. Its calculated total energy is -0.300 Ry/atom. Its spin magnetization is 0.000 Bohr magnetons per cell. The formation energy from the elements is 0.136 eV/atom.

=====

AsSe2: optimized geometry, GGA-PBE.

Lattice parameters (Å, degrees): 2.9296 2.9296 8.6456 90.00 90.00 120.00
With the nearest neighbours (Å) after each atom.
Space group P-3m1 (No. 164)
Inequivalent atoms, fractional coordinates:
1 As 0.0000 0.0000 0.0000  6 As 2.93, 6 Se 3.11
2 Se 0.3333 0.6667 0.3013  6 Se 2.93, 3 As 3.11

Computed properties:
Its density of states at the Fermi level is 3.7 states/eV/f.u. Its calculated total energy is -0.241 Ry/atom. For the uncorrected formation energy, the calculation gives 0.5933 eV per atom. Its spin magnetization is 0.000 Bohr magnetons per cell.